Entry 1:
Compound: K4Ac3VS8
Source: Alexandria
Functional: PBE-GGA
Structure: relaxed

The structure in POSCAR format:
```
K4Ac3VS8
1.0
-5.1853 6.5345 -1.6069
-6.8120 -5.6384 -0.9467
4.4636 -0.2032 7.2258
Ac S V K
3 8 1 4
Cartesian
-1.1742 -2.9208 3.1395
-5.9987 0.4480 -1.2768
-3.7669 0.3464 2.3361
-3.1744 -0.1969 -0.5428
-4.3594 0.8897 5.2149
-6.6108 0.6710 1.6051
-0.9230 0.0218 3.0671
-1.4798 -2.7391 6.1073
-6.0540 3.4319 -1.4351
-3.9591 -2.6261 2.0966
-3.5747 3.3189 2.5756
-3.4060 -2.8192 -0.4734
-0.3609 3.1656 2.8094
0.0000 0.0000 0.0000
2.2318 -0.1016 3.6129
-2.5927 3.2672 -0.8035
```

Results
Its uncorrected formation energy is -1.5767 eV per atom. As for the magnetization: 2.00 μB/cell. The theoretical density is 4.101 g cm⁻³. As for the calculated volume: 463.6 Å³/cell. Its symmetry is No. 166.

Entry 2:
Compound: InTcNi
Source: Alexandria
Functional: PBE-GGA
Structure: relaxed

The structure in POSCAR format:
```
InTcNi
1.0
-2.1745 -2.0220 0.4548
1.9634 -2.2209 -0.4863
2.2543 -0.1859 9.9510
Tc In Ni
2 2 2
Cartesian
2.2711 -1.2168 5.4485
-0.1223 -1.0906 4.4867
0.6564 -1.1548 7.9242
1.4924 -1.1525 2.0110
3.0911 -1.2844 9.0683
-0.9424 -1.0230 0.8669
```

Results
As for the formation energy from the elements: 0.04 eV/atom. As for the magnetization: 0.00 μB/cell. The theoretical density is 9.792 g cm⁻³. As for the calculated volume: 92.1 Å³/cell. Its symmetry is No. 129.

Entry 3:
Compound: Sr4ZnPd3
Source: Alexandria
Functional: PBE-GGA
Structure: relaxed

The structure in POSCAR format:
```
Sr4ZnPd3
1.0
4.3909 0.0000 0.0000
0.0000 4.5132 0.0000
0.0000 0.0000 11.6089
Sr Zn Pd
4 1 3
Cartesian
0.0000 2.2566 9.8748
0.0000 0.0000 1.6689
2.1954 0.0000 7.3777
2.1954 2.2566 4.2880
2.1954 2.2566 0.6555
0.0000 2.2566 6.6680
0.0000 0.0000 4.9530
2.1954 0.0000 10.9498
```

Results
As for the formation energy from the elements: -0.54 eV/atom. As for the magnetization: 0.00 μB/cell. The theoretical density is 5.306 g cm⁻³. As for the calculated volume: 230.1 Å³/cell. Its symmetry is No. 25.

Entry 4:
Compound: Cu2Hg3Cl8
Source: Alexandria
Functional: PBE-GGA
Structure: relaxed

The structure in POSCAR format:
```
Cu2Hg3Cl8
1.0
-0.1861 -0.4533 -6.8135
7.0853 3.4937 -0.4259
-0.8250 -6.9517 2.7279
Cl Cu Hg
8 2 3
Cartesian
5.3976 -2.4158 -3.4993
4.2074 0.2606 -1.3453
5.8164 0.9951 -4.8065
2.3206 -0.7287 -4.5964
0.6766 -1.4955 -1.0123
3.7536 -3.1827 0.0848
0.2579 -4.9064 0.2950
1.8668 -4.1720 -3.1662
4.3276 -0.2547 -3.5736
1.7466 -3.6566 -0.9380
1.8674 0.9208 -0.1123
5.2179 2.5729 -0.3137
-0.0930 -0.2267 -3.4068
```

Results
Its uncorrected formation energy is -0.5177 eV per atom. As for the magnetization: 0.13 μB/cell. The theoretical density is 5.200 g cm⁻³. As for the calculated volume: 323.3 Å³/cell. Its symmetry is No. 12.

Entry 5:
Compound: SrZn2CuRh
Source: Alexandria
Functional: PBE-GGA
Structure: relaxed

The structure in POSCAR format:
```
SrZn2CuRh
1.0
4.7975 0.0000 0.0000
0.0000 4.7975 0.0000
0.0000 0.0000 4.8904
Zn Sr Rh Cu
2 1 1 1
Cartesian
2.3987 0.0000 0.0000
0.0000 2.3987 0.0000
2.3987 2.3987 2.4452
0.0000 0.0000 0.0000
0.0000 0.0000 2.4452
```

Results
As for the formation energy from the elements: -0.14 eV/atom. As for the magnetization: 0.00 μB/cell. The theoretical density is 5.678 g cm⁻³. As for the calculated volume: 112.6 Å³/cell. Its symmetry is No. 123.

Entry 6:
Compound: LiAlP2
Source: Alexandria
Functional: PBE-GGA
Structure: relaxed

The structure in POSCAR format:
```
LiAlP2
1.0
-1.4615 -1.5865 1.8117
3.5932 -1.6438 1.4592
0.2837 3.6974 3.4666
Li P Al
1 2 1
Cartesian
1.3024 1.4678 4.5260
0.2590 3.3760 3.1652
1.1575 -0.4200 2.7560
0.1220 1.5894 1.4902
```

Results
As for the formation energy from the elements: -0.11 eV/atom. As for the magnetization: 0.00 μB/cell. The theoretical density is 2.643 g cm⁻³. As for the calculated volume: 60.2 Å³/cell. Its symmetry is No. 25.

Entry 7:
Compound: AcAgN
Source: Alexandria
Functional: PBE-GGA
Structure: relaxed

The structure in POSCAR format:
```
AcAgN
1.0
3.8722 0.0000 0.0000
0.0000 3.8722 0.0000
-1.9361 -1.9361 9.3400
Ag N Ac
2 2 2
Cartesian
1.9361 1.9361 8.0413
0.0000 0.0000 1.2988
0.0000 0.0000 3.5913
1.9361 1.9361 5.7488
1.9361 1.9361 3.2973
0.0000 0.0000 6.0427
```

Results
Its uncorrected formation energy is -0.5465 eV per atom. As for the magnetization: 0.00 μB/cell. The theoretical density is 8.273 g cm⁻³. As for the calculated volume: 140.0 Å³/cell. Its symmetry is No. 139.

Entry 8:
Compound: CdTeAu2
Source: Alexandria
Functional: PBE-GGA
Structure: relaxed

The structure in POSCAR format:
```
CdTeAu2
1.0
4.0392 0.0000 0.0000
0.0000 4.0186 0.0000
0.0000 0.0000 5.9044
Au Cd Te
2 1 1
Cartesian
0.0000 0.0000 5.1683
2.0196 2.0093 2.2112
0.0000 0.0000 2.2173
2.0196 2.0093 5.1641
```

Results
Its uncorrected formation energy is -0.0178 eV per atom. As for the magnetization: 0.00 μB/cell. The theoretical density is 10.984 g cm⁻³. As for the calculated volume: 95.8 Å³/cell. Its symmetry is No. 25.